[1]
## AlHRu2 (PBE-GGA)

Data for crystalline AlHRu2 at its relaxed geometry.

Cell: 5.9918 5.9918 4.9417 Å, 52.68 52.68 90.00°
Fractional coordinates of all 8 atoms:
Ru  0.5319  0.1250  0.2500
Al  0.7500  0.2500  0.5000
Ru  0.3750  0.4681  0.7500
Ru  0.2181  0.6250  0.2500
H  0.5000  0.5000  0.0000
Ru  0.8750  0.7819  0.7500
H  0.2500  0.7500  0.5000
Al  0.0000  0.0000  0.0000

V, Å³/atom: 11.4
Final energy, eV/atom: -6.44
Distance to the lowest polymorph of the same formula, meV per atom: 168.9

[2]
## AlHRu (PBE-GGA)

Data for crystalline AlHRu at its relaxed geometry.

Cell: 3.0007 4.9419 4.9419 Å, 66.94 72.33 72.33°
Fractional coordinates of all 6 atoms:
Al  0.5000  0.2475  0.7525
Ru  0.2173  0.7827  0.7827
Ru  0.7827  0.2173  0.2173
H  0.8405  0.6595  0.6595
H  0.1595  0.3405  0.3405
Al  0.5000  0.7525  0.2475

V, Å³/atom: 10.5
Final energy, eV/atom: -5.74
Distance to the lowest polymorph of the same formula, meV per atom: 0.0

[3]
## AlH4Ru (PBE-GGA)

Data for crystalline AlH4Ru at its relaxed geometry.

Cell: 2.9423 4.2147 7.7213 Å, 90.00 100.98 90.00°
Fractional coordinates of all 12 atoms:
H  0.5453  0.7500  0.0905
H  0.0000  0.5000  0.0000
H  0.8039  0.0201  0.6078
Ru  0.8935  0.2500  0.7869
H  0.1961  0.5201  0.3922
Ru  0.1065  0.7500  0.2131
H  0.8039  0.4799  0.6078
Al  0.3693  0.7500  0.7385
Al  0.6307  0.2500  0.2615
H  0.0000  0.0000  0.0000
H  0.4547  0.2500  0.9095
H  0.1961  0.9799  0.3922

V, Å³/atom: 7.8
Final energy, eV/atom: -4.38
Distance to the lowest polymorph of the same formula, meV per atom: 94.8